8
Lattice="-1.389 -3.989 -0.405 1.595 -0.156 -3.929 3.679 -1.438 1.551" Properties=species:S:1:pos:R:3 comment="Mn3Be | the Alexandria database | GGA-PBEsol | optimized geometry" delta_e_f_kj_per_mol_atoms=-11 spacegroup="Pm-3n, No. 223" pbc="T T T"
Be 0.000 0.000 0.000
Be 1.943 -2.792 -1.392
Mn -0.244 -3.070 -2.269
Mn 0.450 -1.075 -2.066
Mn 3.036 -0.836 -2.172
Mn 2.238 -0.758 -0.207
Mn 0.225 -2.354 0.185
Mn 2.065 -3.073 0.960